Entry 1:
# BeCoP2

Crystalline BeCoP2 at its relaxed geometry (GGA-PBE, Alexandria via LeMat-Bulk).

Properties
* ΔE_f: 0.12 eV per atom
* total DFT energy (no corrections): -21.17 eV for the cell shown
* mass density: 4.5 g/cm3
* N(E_F): 1.960 states/eV per cell

a b c (Å): 3.0894 3.2784 5.0763
angles (deg): 67.55 90.00 90.00
Site moments in Bohr magnetons follow the coordinates.
Element x y z (fractional)
P 0.0000 0.0589 0.9784  0.01
Co 0.5000 0.7500 0.7500  0.33
P 0.0000 0.4411 0.5216  0.01
Be 0.5000 0.2500 0.2500  0.00

Entry 2:
# TaN2Cl5

Crystalline TaN2Cl5 at its relaxed geometry (GGA-PBE, Alexandria via LeMat-Bulk).

Properties
* formation energy (no corrections): 295.7 meV/atom
* total DFT energy (no corrections): -35.37 eV for the cell shown
* mass density: 2.2 g/cm3
* offset from the most stable computed form: 28 meV/atom
* N(E_F): 0.000 states/eV per cell

a b c (Å): 7.7347 7.2370 7.2657
angles (deg): 73.55 57.97 57.70
Site moments in Bohr magnetons follow the coordinates.
Element x y z (fractional)
Cl 0.7129 0.0003 0.3780  0.01
Cl 0.8752 0.3273 0.0002  0.00
Cl 0.0921 0.9995 0.6215  0.01
N 0.1703 0.4996 0.5002  1.94
N 0.6698 0.5000 0.5011  1.94
Ta 0.8965 0.0001 0.9997  0.02
Cl 0.2029 0.6737 0.0006  0.00
Cl 0.6033 0.9995 0.9986  0.00

Entry 3:
# RbCa2Bi2

Crystalline RbCa2Bi2 at its relaxed geometry (GGA-PBE, Alexandria via LeMat-Bulk).

Properties
* ΔE_f: -0.59 eV per atom
* total DFT energy (no corrections): -15.67 eV for the cell shown
* mass density: 4.7 g/cm3
* offset from the most stable computed form: 83 meV/atom
* N(E_F): 5.766 states/eV per cell

a b c (Å): 5.4995 5.4995 7.9005
angles (deg): 69.63 69.63 90.00
Element x y z (fractional)
Ca 0.2500 0.7500 0.5000
Rb 0.0000 0.0000 0.0000
Ca 0.7500 0.2500 0.5000
Bi 0.3765 0.3765 0.2471
Bi 0.6235 0.6235 0.7529

Entry 4:
# NiPdSe2

Crystalline NiPdSe2 at its relaxed geometry (GGA-PBE, Alexandria via LeMat-Bulk).

Properties
* formation energy (no corrections): -145.8 meV/atom
* total DFT energy (no corrections): -18.53 eV for the cell shown
* mass density: 6.9 g/cm3
* offset from the most stable computed form: 75 meV/atom
* N(E_F): 1.383 states/eV per cell

a b c (Å): 7.7118 7.7118 7.7118
angles (deg): 26.01 26.01 26.01
Element x y z (fractional)
Se 0.1082 0.1082 0.1082
Ni 0.5000 0.5000 0.5000
Pd 0.0000 0.0000 0.0000
Se 0.8918 0.8918 0.8918

Entry 5:
# SrHgF2

Crystalline SrHgF2 at its relaxed geometry (GGA-PBE, Alexandria via LeMat-Bulk).

Properties
* formation energy (no corrections): -2810.0 meV/atom
* total DFT energy (no corrections): -16.97 eV for the cell shown
* mass density: 4.6 g/cm3
* offset from the most stable computed form: 0 meV/atom
* N(E_F): 0.000 states/eV per cell

a b c (Å): 9.1192 9.1192 9.1192
angles (deg): 24.71 24.71 24.71
Element x y z (fractional)
F 0.8699 0.8699 0.8699
F 0.1301 0.1301 0.1301
Sr 0.5000 0.5000 0.5000
Hg 0.0000 0.0000 0.0000

Entry 6:
# HfP2Pd7

Crystalline HfP2Pd7 at its relaxed geometry (GGA-PBE, Alexandria via LeMat-Bulk).

Properties
* ΔE_f: -0.63 eV per atom
* total DFT energy (no corrections): -63.47 eV for the cell shown
* mass density: 10.4 g/cm3
* N(E_F): 4.858 states/eV per cell

a b c (Å): 4.0376 4.0376 10.1062
angles (deg): 101.52 101.52 90.00
Element x y z (fractional)
P 0.3239 0.3239 0.6478
Pd 0.6034 0.1034 0.2067
Pd 0.2500 0.7500 0.5000
Pd 0.1034 0.6034 0.2067
Pd 0.7500 0.2500 0.5000
Hf 0.0000 0.0000 0.0000
Pd 0.3966 0.8966 0.7933
P 0.6761 0.6761 0.3522
Pd 0.8966 0.3966 0.7933
Pd 0.5000 0.5000 0.0000